1.
# Na2SrHg2 PBE-GGA optimized geometry
# Calculated formation energy   -0.2645 eV per atom
# Crystal system   monoclinic
data_Na2SrHg2
_cell_length_a 9.444
_cell_length_b 5.507
_cell_length_c 6.413
_cell_angle_alpha 90.00
_cell_angle_beta 90.07
_cell_angle_gamma 90.00
_space_group_name_H-M_alt 'C 1 2/m 1'
_space_group_IT_number 12
_space_group_name_Hall '-C 2y'
loop_
_atom_site_label
_atom_site_fract_x
_atom_site_fract_y
_atom_site_fract_z
Na1 0.168 0.000 0.138
Sr1 0.000 0.500 0.500
Hg1 0.166 0.000 0.653



2.
# NaSr3Hg7 PBE-GGA optimized geometry
# Calculated formation energy   -0.3717 eV per atom
# Crystal system   orthorhombic
data_NaSr3Hg7
_cell_length_a 4.259
_cell_length_b 21.809
_cell_length_c 14.711
_cell_angle_alpha 90.00
_cell_angle_beta 90.00
_cell_angle_gamma 90.00
_space_group_name_H-M_alt 'C m c m'
_space_group_IT_number 63
_space_group_name_Hall '-C 2c 2'
loop_
_atom_site_label
_atom_site_fract_x
_atom_site_fract_y
_atom_site_fract_z
Na1 0.000 0.058 0.250
Sr1 0.000 0.097 0.555
Sr2 0.000 0.259 0.250
Hg1 0.000 0.289 0.039
Hg2 0.000 0.345 0.646
Hg3 0.000 0.417 0.250
Hg4 0.000 0.480 0.601



3.
# NaSrHg6 PBE-GGA optimized geometry
# Calculated formation energy   -0.3125 eV per atom
# Crystal system   orthorhombic
data_NaSrHg6
_cell_length_a 5.358
_cell_length_b 6.813
_cell_length_c 11.793
_cell_angle_alpha 90.00
_cell_angle_beta 90.00
_cell_angle_gamma 90.00
_space_group_name_H-M_alt 'A m m 2'
_space_group_IT_number 38
_space_group_name_Hall 'A 2 -2'
loop_
_atom_site_label
_atom_site_fract_x
_atom_site_fract_y
_atom_site_fract_z
Na1 0.000 0.000 0.000
Sr1 0.500 0.000 0.333
Hg1 0.000 0.000 0.508
Hg2 0.000 0.237 0.746
Hg3 0.500 0.000 0.832
Hg4 0.500 0.248 0.584



4.
# Na3Sr3Hg2 PBE-GGA optimized geometry
# Calculated formation energy   -0.2593 eV per atom
# Crystal system   hexagonal
data_Na3Sr3Hg2
_cell_length_a 8.7628
_cell_length_b 8.7628
_cell_length_c 4.4636
_cell_angle_alpha 90.00
_cell_angle_beta 90.00
_cell_angle_gamma 120.00
_space_group_name_H-M_alt 'P -6 2 m'
_space_group_IT_number 189
_space_group_name_Hall 'P -6 -2'
loop_
_atom_site_label
_atom_site_fract_x
_atom_site_fract_y
_atom_site_fract_z
Na1 0.0000 0.2318 0.0000
Sr1 0.0000 0.5757 0.5000
Hg1 0.3333 0.6667 0.0000



5.
# NaSr2Hg4 PBE-GGA optimized geometry
# Calculated formation energy   -0.3032 eV per atom
# Crystal system   trigonal
data_NaSr2Hg4
_cell_length_a 5.5599
_cell_length_b 5.5599
_cell_length_c 25.4991
_cell_angle_alpha 90.00
_cell_angle_beta 90.00
_cell_angle_gamma 120.00
_space_group_name_H-M_alt 'R -3 m'
_space_group_IT_number 166
_space_group_name_Hall '-R 3 2"'
loop_
_atom_site_label
_atom_site_fract_x
_atom_site_fract_y
_atom_site_fract_z
Na1 0.0000 0.0000 0.0000
Sr1 0.0000 0.0000 0.2490
Hg1 0.0000 0.0000 0.1205
Hg2 0.0000 0.0000 0.3818



6.
# Na2SrHg2 PBE-GGA optimized geometry
# Calculated formation energy   -0.2553 eV per atom
# Crystal system   monoclinic
data_Na2SrHg2
_cell_length_a 5.644
_cell_length_b 4.209
_cell_length_c 13.589
_cell_angle_alpha 90.00
_cell_angle_beta 95.67
_cell_angle_gamma 90.00
_space_group_name_H-M_alt 'P 1 21/m 1'
_space_group_IT_number 11
_space_group_name_Hall '-P 2yb'
loop_
_atom_site_label
_atom_site_fract_x
_atom_site_fract_y
_atom_site_fract_z
Na1 0.160 0.250 0.106
Na2 0.252 0.750 0.507
Sr1 0.295 0.250 0.747
Hg1 0.223 0.250 0.333
Hg2 0.349 0.750 0.945



7.
# Na3Sr2Hg PBE-GGA optimized geometry
# Calculated formation energy   -0.1118 eV per atom
# Crystal system   orthorhombic
data_Na3Sr2Hg
_cell_length_a 4.200
_cell_length_b 5.473
_cell_length_c 10.035
_cell_angle_alpha 90.00
_cell_angle_beta 90.00
_cell_angle_gamma 90.00
_space_group_name_H-M_alt 'P m m 2'
_space_group_IT_number 25
_space_group_name_Hall 'P 2 -2'
loop_
_atom_site_label
_atom_site_fract_x
_atom_site_fract_y
_atom_site_fract_z
Na1 0.000 0.000 0.000
Na2 0.000 0.000 0.334
Na3 0.000 0.500 0.824
Sr1 0.500 0.000 0.626
Sr2 0.500 0.500 0.221
Hg1 0.000 0.500 0.503



8.
# NaSr3Hg2 PBE-GGA optimized geometry
# Calculated formation energy   -0.3690 eV per atom
# Crystal system   tetragonal
data_NaSr3Hg2
_cell_length_a 4.074
_cell_length_b 4.074
_cell_length_c 13.104
_cell_angle_alpha 90.00
_cell_angle_beta 90.00
_cell_angle_gamma 90.00
_space_group_name_H-M_alt 'P 4/m m m'
_space_group_IT_number 123
_space_group_name_Hall '-P 4 2'
loop_
_atom_site_label
_atom_site_fract_x
_atom_site_fract_y
_atom_site_fract_z
Na1 0.000 0.000 0.000
Sr1 0.500 0.500 0.205
Sr2 0.500 0.500 0.500
Hg1 0.000 0.000 0.342



9.
# Na2SrHg6 PBE-GGA optimized geometry
# Calculated formation energy   -0.2963 eV per atom
# Crystal system   monoclinic
data_Na2SrHg6
_cell_length_a 15.747
_cell_length_b 8.751
_cell_length_c 3.691
_cell_angle_alpha 90.00
_cell_angle_beta 102.79
_cell_angle_gamma 90.00
_space_group_name_H-M_alt 'C 1 2/m 1'
_space_group_IT_number 12
_space_group_name_Hall '-C 2y'
loop_
_atom_site_label
_atom_site_fract_x
_atom_site_fract_y
_atom_site_fract_z
Na1 0.145 0.000 0.133
Sr1 0.000 0.500 0.000
Hg1 0.000 0.169 0.500
Hg2 0.176 0.324 0.670



10.
# NaSr5Hg2 PBE-GGA optimized geometry
# Calculated formation energy   -0.2852 eV per atom
# Crystal system   tetragonal
data_NaSr5Hg2
_cell_length_a 9.134
_cell_length_b 9.134
_cell_length_c 15.843
_cell_angle_alpha 90.00
_cell_angle_beta 90.00
_cell_angle_gamma 90.00
_space_group_name_H-M_alt 'I 4/m c m'
_space_group_IT_number 140
_space_group_name_Hall '-I 4 2c'
loop_
_atom_site_label
_atom_site_fract_x
_atom_site_fract_y
_atom_site_fract_z
Na1 0.000 0.000 0.250
Sr1 0.000 0.000 0.000
Sr2 0.156 0.344 0.138
Hg1 0.140 0.360 0.500



11.
# Na3SrHg3 PBE-GGA optimized geometry
# Calculated formation energy   0.0283 eV per atom
# Crystal system   cubic
data_Na3SrHg3
_cell_length_a 8.185
_cell_length_b 8.185
_cell_length_c 8.185
_cell_angle_alpha 90.00
_cell_angle_beta 90.00
_cell_angle_gamma 90.00
_space_group_name_H-M_alt 'P m -3 n'
_space_group_IT_number 223
_space_group_name_Hall '-P 4n 2 3'
loop_
_atom_site_label
_atom_site_fract_x
_atom_site_fract_y
_atom_site_fract_z
Na1 0.000 0.250 0.500
Sr1 0.000 0.000 0.000
Hg1 0.000 0.500 0.250



12.
# Na4Sr5Hg PBE-GGA optimized geometry
# Calculated formation energy   -0.0859 eV per atom
# Crystal system   tetragonal
data_Na4Sr5Hg
_cell_length_a 4.273
_cell_length_b 4.273
_cell_length_c 23.145
_cell_angle_alpha 90.00
_cell_angle_beta 90.00
_cell_angle_gamma 90.00
_space_group_name_H-M_alt 'P 4/m m m'
_space_group_IT_number 123
_space_group_name_Hall '-P 4 2'
loop_
_atom_site_label
_atom_site_fract_x
_atom_site_fract_y
_atom_site_fract_z
Na1 0.000 0.000 0.104
Na2 0.000 0.000 0.313
Sr1 0.500 0.500 0.000
Sr2 0.500 0.500 0.208
Sr3 0.500 0.500 0.419
Hg1 0.000 0.000 0.500